## LiMg2Zn (meta-GGA SCAN)

Data for a crystal of LiMg2Zn relaxed with PBEsol.

Computed properties:
Total DFT energy (no corrections) = -6.58 eV per atom
E_form = -0.47 eV per formula unit
DOS(E_F) = 1.04 states/eV/cell
SG = Imm2 (44)

```
LiMg2Zn
1.0
-1.8444 -0.1006 -2.8315
3.1222 -2.7248 -1.9370
-2.8899 -2.3027 3.9825
Mg Li Zn
2 1 1
Direct
0.7661 0.2661 0.5322
0.9934 0.9934 0.9867
0.2291 0.7291 0.4582
0.5114 0.5114 0.0229
```